Entry from the Open Quantum Materials Database: an optimized crystal structure of SrCuNiSb2 (PBE).

Space group: P4/nmm, No. 129
Polymorph energy (0 for the lowest one) (kJ/mol of formula units): 25

Cell: 4.577 4.577 10.550 Å, 90.00 90.00 90.00°
Element x y z (fractional)
Sb 0.500 0.500 0.500
Sb 0.000 0.500 0.116
Sb 0.500 0.000 0.884
Sb 0.000 0.000 0.500
Sr 0.000 0.500 0.764
Sr 0.500 0.000 0.236
Ni 0.000 0.000 0.000
Ni 0.500 0.500 0.000
Cu 0.000 0.500 0.363
Cu 0.500 0.000 0.637